1.
# ErZn6Pd12

A relaxed structure of ErZn6Pd12 (PBE, the Alexandria database).

Unit cell a=6.9404 b=6.9404 c=6.9404 alpha=100.30 beta=100.30 gamma=100.30
Last column: nearest neighbours and their distance in Å.
Sites, in units of the cell vectors:
Er (0.0000, 0.0000, 0.0000)  6 Pd 2.82, 6 Zn 3.13
Zn (0.1578, 0.2321, 0.4471)  6 Pd 2.53-2.82, 2 Zn 2.77
Zn (0.2321, 0.4471, 0.1578)  6 Pd 2.53-2.82, 2 Zn 2.77
Zn (0.4471, 0.1578, 0.2321)  6 Pd 2.53-2.82, 2 Zn 2.77
Zn (0.5529, 0.8422, 0.7679)  6 Pd 2.53-2.82, 2 Zn 2.77
Zn (0.7679, 0.5529, 0.8422)  6 Pd 2.53-2.82, 2 Zn 2.77
Zn (0.8422, 0.7679, 0.5529)  6 Pd 2.53-2.82, 2 Zn 2.77
Pd (0.0031, 0.6875, 0.2098)  3 Zn 2.53-2.82, 1 Pd 2.68, 1 Er 2.82
Pd (0.1832, 0.6071, 0.5834)  3 Zn 2.57-2.78, 6 Pd 2.65-2.86
Pd (0.2098, 0.0031, 0.6875)  3 Zn 2.53-2.82, 1 Pd 2.68, 1 Er 2.82
Pd (0.3125, 0.7902, 0.9969)  3 Zn 2.53-2.82, 1 Pd 2.68, 1 Er 2.82
Pd (0.3929, 0.4166, 0.8168)  3 Zn 2.57-2.78, 6 Pd 2.65-2.86
Pd (0.4166, 0.8168, 0.3929)  3 Zn 2.57-2.78, 6 Pd 2.65-2.86
Pd (0.5834, 0.1832, 0.6071)  3 Zn 2.57-2.78, 6 Pd 2.65-2.86
Pd (0.6071, 0.5834, 0.1832)  3 Zn 2.57-2.78, 6 Pd 2.65-2.86
Pd (0.6875, 0.2098, 0.0031)  3 Zn 2.53-2.82, 1 Pd 2.68, 1 Er 2.82
Pd (0.7902, 0.9969, 0.3125)  3 Zn 2.53-2.82, 1 Pd 2.68, 1 Er 2.82
Pd (0.8168, 0.3929, 0.4166)  3 Zn 2.57-2.78, 6 Pd 2.65-2.86
Pd (0.9969, 0.3125, 0.7902)  3 Zn 2.53-2.82, 1 Pd 2.68, 1 Er 2.82

- ΔH_f (0 K): -266 meV/atom
- Energy: -79.6 eV per formula unit
- Volume: 316 Å³/f.u.

2.
# Er3Zn3Pd

A relaxed structure of Er3Zn3Pd (PBE, the Alexandria database).

Unit cell a=3.5921 b=4.4674 c=18.8258 alpha=90.00 beta=90.00 gamma=90.00
Last column: nearest neighbours and their distance in Å.
Sites, in units of the cell vectors:
Er (0.0000, 0.0000, 0.0000)  7 Zn 2.97-3.07
Er (0.0000, 0.0000, 0.3804)  2 Pd 2.88, 4 Zn 2.98
Er (0.0000, 0.5000, 0.2006)  4 Pd 3.08, 8 Zn 3.13-3.31
Er (0.5000, 0.0000, 0.7006)  4 Pd 3.08, 8 Zn 3.13-3.31
Er (0.5000, 0.5000, 0.5000)  7 Zn 2.97-3.07
Er (0.5000, 0.5000, 0.8804)  2 Pd 2.88, 4 Zn 2.98
Zn (0.0000, 0.0000, 0.5529)  2 Zn 2.62
Zn (0.0000, 0.0000, 0.8369)  2 Pd 2.65
Zn (0.0000, 0.5000, 0.6255)  1 Pd 2.55, 2 Zn 2.62
Zn (0.5000, 0.0000, 0.1255)  1 Pd 2.55, 2 Zn 2.62
Zn (0.5000, 0.5000, 0.0529)  2 Zn 2.62
Zn (0.5000, 0.5000, 0.3369)  2 Pd 2.65
Pd (0.0000, 0.5000, 0.7609)  3 Zn 2.55-2.65
Pd (0.5000, 0.0000, 0.2609)  3 Zn 2.55-2.65

- ΔH_f (0 K): -476 meV/atom
- Energy: -26.0 eV per formula unit
- Volume: 151 Å³/f.u.

3.
# ErZn2Pd8

A relaxed structure of ErZn2Pd8 (PBE, the Alexandria database).

Unit cell a=7.3186 b=7.3186 c=6.3486 alpha=106.97 beta=106.97 gamma=32.59
Last column: nearest neighbours and their distance in Å.
Sites, in units of the cell vectors:
Er (0.0000, 0.0000, 0.0000)  12 Pd 2.76-2.93
Zn (0.2761, 0.2761, 0.3490)  10 Pd 2.61-2.86
Zn (0.7239, 0.7239, 0.6510)  10 Pd 2.61-2.86
Pd (0.1008, 0.1008, 0.4719)  3 Zn 2.70-2.80, 8 Pd 2.75-2.96, 1 Er 2.90
Pd (0.1830, 0.1830, 0.9244)  3 Zn 2.61-2.86, 8 Pd 2.75-2.88, 1 Er 2.76
Pd (0.3526, 0.3526, 0.7899)  3 Zn 2.68-2.70, 7 Pd 2.76-2.98, 2 Er 2.93
Pd (0.4554, 0.4554, 0.2762)  1 Zn 2.70, 9 Pd 2.74-2.98, 2 Er 2.89
Pd (0.5446, 0.5446, 0.7238)  1 Zn 2.70, 9 Pd 2.74-2.98, 2 Er 2.89
Pd (0.6474, 0.6474, 0.2101)  3 Zn 2.68-2.70, 7 Pd 2.76-2.98, 2 Er 2.93
Pd (0.8170, 0.8170, 0.0756)  3 Zn 2.61-2.86, 8 Pd 2.75-2.88, 1 Er 2.76
Pd (0.8992, 0.8992, 0.5281)  3 Zn 2.70-2.80, 8 Pd 2.75-2.96, 1 Er 2.90

- ΔH_f (0 K): -529 meV/atom
- Energy: -54.5 eV per formula unit
- Volume: 174 Å³/f.u.

4.
# Er2Zn12Pd5

A relaxed structure of Er2Zn12Pd5 (PBE, the Alexandria database).

Unit cell a=6.8267 b=6.8267 c=6.8267 alpha=83.44 beta=83.44 gamma=83.44
Last column: nearest neighbours and their distance in Å.
Sites, in units of the cell vectors:
Er (0.1785, 0.1785, 0.1785)  1 Pd 2.86
Er (0.8215, 0.8215, 0.8215)  1 Pd 2.86
Zn (0.1482, 0.1482, 0.6567)  6 Zn 2.61-2.76, 3 Pd 2.65-2.86
Zn (0.1482, 0.6567, 0.1482)  6 Zn 2.61-2.76, 3 Pd 2.65-2.86
Zn (0.2063, 0.5000, 0.7937)  2 Pd 2.58, 6 Zn 2.67-2.76
Zn (0.2063, 0.7937, 0.5000)  2 Pd 2.58, 6 Zn 2.67-2.76
Zn (0.3433, 0.8518, 0.8518)  6 Zn 2.61-2.76, 3 Pd 2.65-2.86
Zn (0.5000, 0.2063, 0.7937)  2 Pd 2.58, 6 Zn 2.67-2.76
Zn (0.5000, 0.7937, 0.2063)  2 Pd 2.58, 6 Zn 2.67-2.76
Zn (0.6567, 0.1482, 0.1482)  6 Zn 2.61-2.76, 3 Pd 2.65-2.86
Zn (0.7937, 0.2063, 0.5000)  2 Pd 2.58, 6 Zn 2.67-2.76
Zn (0.7937, 0.5000, 0.2063)  2 Pd 2.58, 6 Zn 2.67-2.76
Zn (0.8518, 0.3433, 0.8518)  6 Zn 2.61-2.76, 3 Pd 2.65-2.86
Zn (0.8518, 0.8518, 0.3433)  6 Zn 2.61-2.76, 3 Pd 2.65-2.86
Pd (0.0000, 0.5000, 0.5000)  8 Zn 2.58-2.65, 2 Pd 2.75
Pd (0.3965, 0.3965, 0.3965)  4 Pd 2.71-2.75, 1 Er 2.86, 9 Zn 2.86-2.99
Pd (0.5000, 0.0000, 0.5000)  8 Zn 2.58-2.65, 2 Pd 2.75
Pd (0.5000, 0.5000, 0.0000)  8 Zn 2.58-2.65, 2 Pd 2.75
Pd (0.6035, 0.6035, 0.6035)  4 Pd 2.71-2.75, 1 Er 2.86, 9 Zn 2.86-2.99

- ΔH_f (0 K): -411 meV/atom
- Energy: -58.2 eV per formula unit
- Volume: 312 Å³/f.u.

5.
# Er3Zn9Pd2

A relaxed structure of Er3Zn9Pd2 (PBE, the Alexandria database).

Unit cell a=8.1412 b=8.1412 c=8.1412 alpha=149.38 beta=113.96 gamma=74.53
Last column: nearest neighbours and their distance in Å.
Sites, in units of the cell vectors:
Er (0.0000, 0.0000, 0.0000)  12 Zn 3.01-3.30
Er (0.3045, 0.3045, 0.0000)  14 Zn 3.02-3.35, 2 Pd 3.06
Er (0.6955, 0.6955, 0.0000)  14 Zn 3.02-3.35, 2 Pd 3.06
Zn (0.0270, 0.6677, 0.3593)  4 Zn 2.50-2.70, 1 Pd 2.63
Zn (0.1496, 0.8691, 0.2804)  4 Zn 2.53-2.70, 2 Pd 2.75
Zn (0.3083, 0.6677, 0.6407)  4 Zn 2.50-2.70, 1 Pd 2.63
Zn (0.4113, 0.1309, 0.2804)  4 Zn 2.53-2.70, 2 Pd 2.75
Zn (0.5000, 0.0000, 0.5000)  4 Zn 2.58, 4 Pd 2.75
Zn (0.5887, 0.8691, 0.7196)  4 Zn 2.53-2.70, 2 Pd 2.75
Zn (0.6917, 0.3323, 0.3593)  4 Zn 2.50-2.70, 1 Pd 2.63
Zn (0.8504, 0.1309, 0.7196)  4 Zn 2.53-2.70, 2 Pd 2.75
Zn (0.9730, 0.3323, 0.6407)  4 Zn 2.50-2.70, 1 Pd 2.63
Pd (0.3073, 0.5000, 0.8073)  8 Zn 2.63-2.75
Pd (0.6927, 0.5000, 0.1927)  8 Zn 2.63-2.75

- ΔH_f (0 K): -457 meV/atom
- Energy: -41.9 eV per formula unit
- Volume: 247 Å³/f.u.

6.
# Er3Zn3Pd2

A relaxed structure of Er3Zn3Pd2 (PBE, the Alexandria database).

Unit cell a=7.1784 b=7.1784 c=3.7214 alpha=90.00 beta=90.00 gamma=120.00
Last column: nearest neighbours and their distance in Å.
Sites, in units of the cell vectors:
Er (0.0000, 0.5968, 0.0000)  4 Pd 2.87, 4 Zn 3.13
Er (0.4032, 0.4032, 0.0000)  4 Pd 2.87, 4 Zn 3.13
Er (0.5968, 0.0000, 0.0000)  4 Pd 2.87, 4 Zn 3.13
Zn (0.0000, 0.2262, 0.5000)  2 Zn 2.81, 2 Pd 2.86, 4 Er 3.13
Zn (0.2262, 0.0000, 0.5000)  2 Zn 2.81, 2 Pd 2.86, 4 Er 3.13
Zn (0.7738, 0.7738, 0.5000)  2 Zn 2.81, 2 Pd 2.86, 4 Er 3.13
Pd (0.3333, 0.6667, 0.5000)  3 Zn 2.86, 6 Er 2.87
Pd (0.6667, 0.3333, 0.5000)  3 Zn 2.86, 6 Er 2.87

- ΔH_f (0 K): -618 meV/atom
- Energy: -32.8 eV per formula unit
- Volume: 166 Å³/f.u.

7.
# ErZnPd6

A relaxed structure of ErZnPd6 (PBE, the Alexandria database).

Unit cell a=4.0323 b=4.0323 c=7.9508 alpha=90.00 beta=90.00 gamma=90.00
Last column: nearest neighbours and their distance in Å.
Sites, in units of the cell vectors:
Er (0.0000, 0.0000, 0.0000)  12 Pd 2.85-2.91
Zn (0.0000, 0.0000, 0.5000)  12 Pd 2.76-2.85
Pd (0.0000, 0.5000, 0.2632)  8 Pd 2.76-2.91, 2 Zn 2.76, 2 Er 2.91
Pd (0.0000, 0.5000, 0.7368)  8 Pd 2.76-2.91, 2 Zn 2.76, 2 Er 2.91
Pd (0.5000, 0.0000, 0.2632)  8 Pd 2.76-2.91, 2 Zn 2.76, 2 Er 2.91
Pd (0.5000, 0.0000, 0.7368)  8 Pd 2.76-2.91, 2 Zn 2.76, 2 Er 2.91
Pd (0.5000, 0.5000, 0.0000)  4 Er 2.85, 8 Pd 2.91
Pd (0.5000, 0.5000, 0.5000)  8 Pd 2.76, 4 Zn 2.85

- ΔH_f (0 K): -588 meV/atom
- Energy: -41.7 eV per formula unit
- Offset from the most stable computed form: 0 meV per atom
- Volume: 129 Å³/f.u.

8.
# Er2Zn2Pd

A relaxed structure of Er2Zn2Pd (PBE, the Alexandria database).

Unit cell a=5.4987 b=5.4987 c=10.7523 alpha=110.61 beta=110.61 gamma=44.36
Last column: nearest neighbours and their distance in Å.
Sites, in units of the cell vectors:
Er (0.0076, 0.0076, 0.3332)  3 Pd 2.96-2.97, 7 Zn 3.05-3.25
Er (0.1927, 0.1927, 0.1156)  5 Zn 2.91-3.15, 2 Pd 3.00
Er (0.8073, 0.8073, 0.8844)  5 Zn 2.91-3.15, 2 Pd 3.00
Er (0.9924, 0.9924, 0.6668)  3 Pd 2.96-2.97, 7 Zn 3.05-3.25
Zn (0.3521, 0.3521, 0.4485)  3 Pd 2.59-2.77, 1 Zn 2.79
Zn (0.4750, 0.4750, 0.1083)  1 Zn 2.57, 1 Pd 2.64
Zn (0.5250, 0.5250, 0.8917)  1 Zn 2.57, 1 Pd 2.64
Zn (0.6479, 0.6479, 0.5515)  3 Pd 2.59-2.77, 1 Zn 2.79
Pd (0.2874, 0.2874, 0.6766)  4 Zn 2.59-2.77
Pd (0.7126, 0.7126, 0.3234)  4 Zn 2.59-2.77

- ΔH_f (0 K): -550 meV/atom
- Energy: -19.6 eV per formula unit
- Offset from the most stable computed form: 0 meV per atom
- Volume: 105 Å³/f.u.

9.
# Er2ZnPd6

A relaxed structure of Er2ZnPd6 (PBE, the Alexandria database).

Unit cell a=7.8207 b=7.8207 c=3.4194 alpha=102.37 beta=102.37 gamma=58.19
Last column: nearest neighbours and their distance in Å.
Sites, in units of the cell vectors:
Er (0.1537, 0.1537, 0.1515)  8 Pd 2.80-2.85
Er (0.8463, 0.8463, 0.8485)  8 Pd 2.80-2.85
Zn (0.5000, 0.5000, 0.5000)  8 Pd 2.54-2.69
Pd (0.1301, 0.5375, 0.3351)  1 Zn 2.69, 4 Pd 2.80-2.90, 3 Er 2.83-2.85
Pd (0.2533, 0.7467, 0.0000)  2 Zn 2.54, 4 Pd 2.80-2.81, 2 Er 2.80
Pd (0.4625, 0.8699, 0.6649)  1 Zn 2.69, 4 Pd 2.80-2.90, 3 Er 2.83-2.85
Pd (0.5375, 0.1301, 0.3351)  1 Zn 2.69, 4 Pd 2.80-2.90, 3 Er 2.83-2.85
Pd (0.7467, 0.2533, 0.0000)  2 Zn 2.54, 4 Pd 2.80-2.81, 2 Er 2.80
Pd (0.8699, 0.4625, 0.6649)  1 Zn 2.69, 4 Pd 2.80-2.90, 3 Er 2.83-2.85

- ΔH_f (0 K): -524 meV/atom
- Energy: -46.3 eV per formula unit
- Volume: 172 Å³/f.u.

10.
# Er2Zn16Pd

A relaxed structure of Er2Zn16Pd (PBE, the Alexandria database).

Unit cell a=6.7678 b=6.7678 c=6.7678 alpha=82.77 beta=82.77 gamma=82.77
Last column: nearest neighbours and their distance in Å.
Sites, in units of the cell vectors:
Er (0.0000, 0.0000, 0.0000)  1 Pd 3.07, 15 Zn 3.17-3.36
Er (0.3288, 0.3288, 0.3288)  16 Zn 3.07-3.41
Zn (0.0188, 0.0188, 0.5100)  8 Zn 2.54-2.74, 1 Pd 2.85
Zn (0.0188, 0.5100, 0.0188)  8 Zn 2.54-2.74, 1 Pd 2.85
Zn (0.1647, 0.6685, 0.6685)  9 Zn 2.56-2.73, 1 Pd 2.71
Zn (0.3110, 0.3110, 0.8305)  8 Zn 2.54-2.78
Zn (0.3110, 0.8305, 0.3110)  8 Zn 2.54-2.78
Zn (0.3731, 0.6682, 0.9620)  8 Zn 2.56-2.78
Zn (0.3731, 0.9620, 0.6682)  8 Zn 2.56-2.78
Zn (0.5100, 0.0188, 0.0188)  8 Zn 2.54-2.74, 1 Pd 2.85
Zn (0.5627, 0.5627, 0.5627)  1 Pd 2.66, 12 Zn 2.73-2.97
Zn (0.6685, 0.1647, 0.6685)  9 Zn 2.56-2.73, 1 Pd 2.71
Zn (0.6682, 0.3731, 0.9620)  8 Zn 2.56-2.78
Zn (0.6685, 0.6685, 0.1647)  9 Zn 2.56-2.73, 1 Pd 2.71
Zn (0.6682, 0.9620, 0.3731)  8 Zn 2.56-2.78
Zn (0.8305, 0.3110, 0.3110)  8 Zn 2.54-2.78
Zn (0.9620, 0.3731, 0.6682)  8 Zn 2.56-2.78
Zn (0.9620, 0.6682, 0.3731)  8 Zn 2.56-2.78
Pd (0.7659, 0.7659, 0.7659)  13 Zn 2.66-2.93

- ΔH_f (0 K): -273 meV/atom
- Energy: -39.9 eV per formula unit
- Volume: 303 Å³/f.u.